# 1
{
  "formula": "Sm2Sc3Rh2",
  "functional": "PBE",
  "state": "relaxed",
  "lattice_angstrom": [[-2.0891, 2.8892, -0.8489], [-5.7645, -1.4088, 1.4796], [-1.5066, 3.3565, 7.2193]],
  "species": ["Sm", "Sm", "Sc", "Sc", "Sc", "Rh", "Rh"],
  "fractional_positions": [[0.1559, 0.4893, 0.1989], [0.8441, 0.5107, 0.8011], [0.5000, 0.0000, 0.0000], [0.3789, 0.8089, 0.4333], [0.6211, 0.1911, 0.5667], [0.1639, 0.9115, 0.7607], [0.8361, 0.0885, 0.2393]],
  "magmom_total_mub_per_cell": 0.000,
  "formation_enthalpy_0k_ev_per_atom": -0.566,
  "energy_ev_per_atom": -6.728
}

# 2
{
  "formula": "SmScRh",
  "functional": "PBE",
  "state": "relaxed",
  "lattice_angstrom": [[4.5242, 0.0000, 0.0000], [0.0000, 7.0930, -0.0715], [0.0000, -0.1392, 12.8142]],
  "species": ["Sm", "Sm", "Sm", "Sm", "Sm", "Sm", "Sc", "Sc", "Sc", "Sc", "Sc", "Sc", "Rh", "Rh", "Rh", "Rh", "Rh", "Rh"],
  "fractional_positions": [[0.7500, 0.5170, 0.3802], [0.2500, 0.9978, 0.7120], [0.7500, 0.0022, 0.2880], [0.7500, 0.6215, 0.0886], [0.2500, 0.4830, 0.6198], [0.2500, 0.3785, 0.9114], [0.2500, 0.9722, 0.0842], [0.2500, 0.8573, 0.4552], [0.7500, 0.6520, 0.7869], [0.7500, 0.1427, 0.5448], [0.2500, 0.3480, 0.2131], [0.7500, 0.0278, 0.9158], [0.2500, 0.7890, 0.8916], [0.7500, 0.2799, 0.7588], [0.7500, 0.7649, 0.5648], [0.7500, 0.2110, 0.1084], [0.2500, 0.2351, 0.4352], [0.2500, 0.7201, 0.2412]],
  "magmom_total_mub_per_cell": 0.000,
  "formation_enthalpy_0k_ev_per_atom": -0.652,
  "energy_ev_per_atom": -6.786
}

# 3
{
  "formula": "SmScRh",
  "functional": "PBE",
  "state": "relaxed",
  "lattice_angstrom": [[3.3603, 0.0000, 0.0000], [0.0000, 3.3603, 0.0000], [-1.6802, -1.6802, 6.0936]],
  "species": ["Sc", "Rh", "Sm"],
  "fractional_positions": [[0.2942, 0.2942, 0.5884], [0.6821, 0.6821, 0.3641], [0.0237, 0.0237, 0.0475]],
  "magmom_total_mub_per_cell": 0.000,
  "formation_enthalpy_0k_ev_per_atom": -0.520,
  "energy_ev_per_atom": -6.654
}

# 4
{
  "formula": "Sm2ScRh",
  "functional": "PBE",
  "state": "relaxed",
  "lattice_angstrom": [[-0.1582, -2.3461, -2.6296], [-2.0513, -2.8538, 0.3034], [-8.6506, 3.5087, -4.9762]],
  "species": ["Sc", "Rh", "Sm", "Sm"],
  "fractional_positions": [[0.0000, 0.0000, 0.0000], [0.5000, 0.5000, 0.5000], [0.1045, 0.1045, 0.6866], [0.8955, 0.8955, 0.3134]],
  "magmom_total_mub_per_cell": 0.196,
  "formation_enthalpy_0k_ev_per_atom": -0.016,
  "energy_ev_per_atom": -5.797
}

# 5
{
  "formula": "SmScSnRh",
  "functional": "PBE",
  "state": "relaxed",
  "lattice_angstrom": [[-1.9778, 3.5048, -3.0039], [1.5782, 0.4181, -4.7491], [-3.0224, -1.3458, -3.7780]],
  "species": ["Sc", "Rh", "Sn", "Sm"],
  "fractional_positions": [[0.5000, 0.5000, 0.5000], [0.7500, 0.7500, 0.7500], [0.2500, 0.2500, 0.2500], [0.0000, 0.0000, 0.0000]],
  "magmom_total_mub_per_cell": 0.000,
  "formation_enthalpy_0k_ev_per_atom": -0.604,
  "energy_ev_per_atom": -6.206
}

# 6
{
  "formula": "Sc11Sn9Rh4",
  "functional": "PBE",
  "state": "relaxed",
  "lattice_angstrom": [[-1.8445, -0.5477, 2.8615], [-0.2770, -12.2973, -2.5322], [9.9057, 3.2418, 7.0056]],
  "species": ["Sc", "Sc", "Sc", "Sc", "Sc", "Sc", "Sc", "Sc", "Sc", "Sc", "Sc", "Sn", "Sn", "Sn", "Sn", "Sn", "Sn", "Sn", "Sn", "Sn", "Rh", "Rh", "Rh", "Rh"],
  "fractional_positions": [[0.0000, 0.5853, 0.9281], [0.0000, 0.4147, 0.0719], [0.0000, 0.9281, 0.5853], [0.0000, 0.0719, 0.4147], [0.0000, 0.6261, 0.3739], [0.0000, 0.3739, 0.6261], [0.0000, 0.8434, 0.1566], [0.0000, 0.1566, 0.8434], [0.0000, 0.0000, 0.0000], [0.0000, 0.6877, 0.6877], [0.0000, 0.3123, 0.3123], [0.5000, 0.6294, 0.1519], [0.5000, 0.3706, 0.8481], [0.5000, 0.1519, 0.6294], [0.5000, 0.8481, 0.3706], [0.5000, 0.7812, 0.9285], [0.5000, 0.2188, 0.0715], [0.5000, 0.9285, 0.7812], [0.5000, 0.0715, 0.2188], [0.5000, 0.5000, 0.5000], [0.5000, 0.5511, 0.7569], [0.5000, 0.4489, 0.2431], [0.5000, 0.7569, 0.5511], [0.5000, 0.2431, 0.4489]],
  "magmom_total_mub_per_cell": 0.906,
  "formation_enthalpy_0k_ev_per_atom": -0.739,
  "energy_ev_per_atom": -6.367
}

# 7
{
  "formula": "Sc3SnRh4",
  "functional": "PBE",
  "state": "relaxed",
  "lattice_angstrom": [[-0.3003, 3.7749, -2.5400], [-4.0733, 1.8784, -0.8196], [-0.7626, 6.0719, 5.0211]],
  "species": ["Sc", "Sc", "Sc", "Rh", "Rh", "Rh", "Rh", "Sn"],
  "fractional_positions": [[0.2517, 0.2517, 0.2450], [0.7483, 0.7483, 0.7550], [0.5000, 0.5000, 0.5000], [0.8742, 0.8742, 0.3773], [0.3771, 0.3771, 0.8688], [0.1258, 0.1258, 0.6227], [0.6229, 0.6229, 0.1312], [0.0000, 0.0000, 0.0000]],
  "magmom_total_mub_per_cell": 0.000,
  "formation_enthalpy_0k_ev_per_atom": -0.951,
  "energy_ev_per_atom": -7.501
}

# 8
{
  "formula": "ScSnRh2",
  "functional": "PBE",
  "state": "relaxed",
  "lattice_angstrom": [[3.4312, 0.0000, 0.0000], [0.0000, 4.4326, 0.0000], [0.0000, 0.0000, 4.4326]],
  "species": ["Sc", "Rh", "Rh", "Sn"],
  "fractional_positions": [[0.5000, 0.5000, 0.5000], [0.0000, 0.0000, 0.5000], [0.0000, 0.5000, 0.0000], [0.5000, 0.0000, 0.0000]],
  "magmom_total_mub_per_cell": 0.000,
  "formation_enthalpy_0k_ev_per_atom": -0.843,
  "energy_ev_per_atom": -7.102
}